The following is a GGA-PBE calculation of BiCl3F after structural relaxation, from the Alexandria database.

The density of states at the Fermi level is 3.48 states/eV/f.u. Its energy relative to the lowest polymorph listed for this composition is 0 meV/atom. The uncorrected formation energy comes out at -914 meV/atom.

It has space group Pmn2_1 (No. 31), with a = 7.4343 Å, b = 6.6497 Å, c = 6.1344 Å, α = 90.00°, β = 90.00° and γ = 90.00°. The inequivalent atoms are Bi at (0.0000, 0.0113, 0.0000), Cl at (0.0000, 0.3381, 0.2216), Cl at (0.2442, 0.8144, 0.2463) and F at (0.0000, 0.7672, 0.7861).

The following is a GGA-PBE calculation of GaCoW3 after structural relaxation, from the Alexandria database.

The density of states at the Fermi level is 6.65 states/eV/f.u. Its energy relative to the lowest polymorph listed for this composition is 0 meV/atom.

It has space group Pm-3m (No. 221), with a = 4.4613 Å, b = 4.4613 Å, c = 4.4613 Å, α = 90.00°, β = 90.00° and γ = 90.00°. The inequivalent atoms are Ga at (0.0000, 0.0000, 0.0000), Co at (0.5000, 0.5000, 0.5000) and W at (0.0000, 0.5000, 0.5000).

The following is a GGA-PBE calculation of K2RbMgB after structural relaxation, from the Alexandria database.

The density of states at the Fermi level is 4.42 states/eV/f.u. Its total energy is -7.79 eV per cell.

It has space group P4/mmm (No. 123), with a = 7.0411 Å, b = 7.0411 Å, c = 4.5529 Å, α = 90.00°, β = 90.00° and γ = 90.00°. The inequivalent atoms are K at (0.0000, 0.5000, 0.0000), Rb at (0.0000, 0.0000, 0.5000), Mg at (0.5000, 0.5000, 0.0000) and B at (0.5000, 0.5000, 0.5000).

The following is a GGA-PBE calculation of NdEr6In5 after structural relaxation, from the Alexandria database.

The density of states at the Fermi level is 11.48 states/eV/f.u. Its total energy is -100.47 eV per cell.

It has space group Immm (No. 71), with a = 4.9744 Å, b = 8.7141 Å, c = 15.0421 Å, α = 90.00°, β = 90.00° and γ = 90.00°. The inequivalent atoms are Nd at (0.0000, 0.0000, 0.0000), Er at (0.0000, 0.2247, 0.5000), Er at (0.0000, 0.2648, 0.1698), In at (0.0000, 0.0000, 0.3206), In at (0.0000, 0.5000, 0.0000) and In at (0.0000, 0.5000, 0.3467).